DFT (PBE-GGA) results for La3In3Hg2Rh after structural relaxation.

The structure belongs to space group P-62m (No. 189); the cell edges are 7.7231, 7.7231 and 4.6019 Å and the angles 90.00°, 90.00° and 120.00°. The distinct sites, in fractional coordinates, are La at (0.0000, 0.3928, 0.0000), In at (0.0000, 0.7675, 0.5000), Hg at (0.3333, 0.6667, 0.5000) and Rh at (0.0000, 0.0000, 0.0000).

As for the size of the total moment: 0.00 μB per formula unit. The formation energy is -56 kJ/mol of atoms. Its density of states at the Fermi level is 10.73 states/eV/cell.